# 1
VASP calculation (PBE) on crystalline Ca2ReOs at its relaxed geometry.

a b c (Å): 3.9326 3.9326 4.9246
angles (deg): 90.00 90.00 90.00
Atoms (fractional coordinates):
Ca: 0.5000 0.5000 0.0000
Ca: 0.0000 0.0000 0.0000
Re: 0.0000 0.5000 0.5000
Os: 0.5000 0.0000 0.5000

Output
ρ (Mg/m³): 10.0
DOS at the Fermi energy (states/eV/atom): 1.19
Calculated formation energy (eV per atom): 0.80
SG: No. 123
ΔE to the lowest computed polymorph (meV per atom): 650
Total magnetic moment (μB per formula unit): 0.00

# 2
VASP calculation (PBE) on crystalline Ca2ReOs at its relaxed geometry.

a b c (Å): 4.8852 2.8986 5.6258
angles (deg): 72.06 90.00 90.00
Atoms (fractional coordinates):
Os: 0.5000 0.2500 0.2500
Ca: 0.0000 0.0270 0.0033
Ca: 0.0000 0.4730 0.4967
Re: 0.5000 0.7500 0.7500

Output
ρ (Mg/m³): 10.0
DOS at the Fermi energy (states/eV/atom): 0.85
Calculated formation energy (eV per atom): 0.78
SG: No. 10
ΔE to the lowest computed polymorph (meV per atom): 634
Total magnetic moment (μB per formula unit): 0.00

Which value of ρ does entry 2 give?
10.0 Mg/m³

The highest DOS at the Fermi energy belongs to which entry?
number 1

The highest calculated formation energy belongs to which entry?
number 1